A plane-wave DFT calculation with PBE was carried out for a geometry-optimized NdSmUO6 structure.

Lattice parameters (Å, degrees): 5.9170 5.9170 9.6065 90.00 90.00 120.00
Last column: nearest neighbours and their distance in Å.
Fractional coordinates of all 18 atoms:
Nd (0.0000, 0.0000, 0.0000)  6 O 2.44
Nd (0.0000, 0.0000, 0.5000)  6 O 2.44
Sm (0.3333, 0.6667, 0.2500)  6 O 2.34
Sm (0.6667, 0.3333, 0.7500)  6 O 2.34
U (0.3333, 0.6667, 0.7500)  6 O 2.10
U (0.6667, 0.3333, 0.2500)  6 O 2.10
O (0.0307, 0.3636, 0.6358)  1 U 2.10, 1 Sm 2.34
O (0.0307, 0.6671, 0.8642)  1 U 2.10, 1 Sm 2.34
O (0.3329, 0.3636, 0.8642)  1 U 2.10, 1 Sm 2.34
O (0.3329, 0.9693, 0.6358)  1 U 2.10, 1 Sm 2.34
O (0.3636, 0.0307, 0.1358)  1 U 2.10, 1 Sm 2.34
O (0.3636, 0.3329, 0.3642)  1 U 2.10, 1 Sm 2.34
O (0.6364, 0.6671, 0.6358)  1 U 2.10, 1 Sm 2.34
O (0.6364, 0.9693, 0.8642)  1 U 2.10, 1 Sm 2.34
O (0.6671, 0.0307, 0.3642)  1 U 2.10, 1 Sm 2.34
O (0.6671, 0.6364, 0.1358)  1 U 2.10, 1 Sm 2.34
O (0.9693, 0.3329, 0.1358)  1 U 2.10, 1 Sm 2.34
O (0.9693, 0.6364, 0.3642)  1 U 2.10, 1 Sm 2.34

Properties
Space-group type: P-31c, No. 163
Calculated total energy in eV/atom: -8.895
Energy relative to the elements, uncorrected in eV/atom: -3.28